Entry from the Alexandria database: a relaxed Cr2SiNi crystal (PBE).

```
Cr2SiNi
1.0
2.533 0.000 0.000
0.000 3.847 0.000
0.000 0.000 4.704
Cr Si Ni
2 1 1
direct
0.000 0.000 0.244
0.000 0.000 0.756
0.500 0.500 0.000
0.500 0.500 0.500
```

Output
The calculated total energy comes out at -31.0 eV for the cell shown. The density comes out at 6.91 g cm⁻³. The energy relative to the elements, uncorrected comes out at -0.134 eV per atom.